(1)
Below is a relaxed structure of Fe3WN, with properties calculated at the PBE level.

Unit cell a=4.504 b=4.504 c=4.504 alpha=90.00 beta=90.00 gamma=90.00
Element x y z (fractional)
N: 0.500 0.500 0.500
Fe: 0.000 0.000 0.500
Fe: 0.500 0.000 0.000
Fe: 0.000 0.500 0.000
W: 0.000 0.000 0.000

Values from the calculation:
* uncorrected formation energy: 1259 kJ/mol of formula units
* E above lowest polymorph: 2.450 eV per atom
* E_tot: -6.72 eV per atom

(2)
Below is a relaxed structure of Nd8Te4As3Pd, with properties calculated at the PBE level.

Unit cell a=8.716 b=8.843 c=8.716 alpha=119.53 beta=120.00 gamma=90.00
Element x y z (fractional)
Te: 0.000 0.000 0.000
Te: 0.500 0.000 0.000
Te: 0.500 0.000 0.500
Te: 0.000 0.000 0.500
As: 0.000 0.500 0.500
As: 0.500 0.500 0.500
As: 0.500 0.500 0.000
Nd: 0.242 0.724 0.483
Nd: 0.259 0.276 0.018
Nd: 0.741 0.724 0.982
Nd: 0.758 0.276 0.517
Nd: 0.260 0.279 0.519
Nd: 0.242 0.724 0.982
Nd: 0.740 0.721 0.481
Nd: 0.758 0.276 0.018
Pd: 0.000 0.500 0.000

Values from the calculation:
* uncorrected formation energy: -2163 kJ/mol of formula units
* E_tot: -5.77 eV per atom

(3)
Below is a relaxed structure of BaTiGe2, with properties calculated at the PBE level.

Unit cell a=5.523 b=5.523 c=9.181 alpha=72.50 beta=72.50 gamma=90.00
Element x y z (fractional)
Ge: 0.875 0.667 0.750
Ge: 0.375 0.583 0.750
Ge: 0.333 0.625 0.250
Ge: 0.417 0.125 0.250
Ba: 0.750 0.250 0.500
Ba: 0.000 0.000 0.000
Ti: 0.500 0.500 0.000
Ti: 0.250 0.750 0.500

Values from the calculation:
* E above lowest polymorph: 0.138 eV per atom
* formation enthalpy at 0 K: -0.19 eV per atom
* E_tot: -4.95 eV per atom

(4)
Below is a relaxed structure of ScZn3Re, with properties calculated at the PBE level.

Unit cell a=4.918 b=4.918 c=4.918 alpha=90.00 beta=90.00 gamma=90.00
Element x y z (fractional)
Zn: 0.000 0.000 0.500
Zn: 0.500 0.000 0.000
Zn: 0.000 0.500 0.000
Re: 0.500 0.500 0.500
Sc: 0.000 0.000 0.000

Values from the calculation:
* E above lowest polymorph: 1.192 eV per atom
* formation enthalpy at 0 K: 1.78 eV per atom
* E_tot: -2.74 eV per atom

(5)
Below is a relaxed structure of PmY3Ho7, with properties calculated at the PBE level.

Unit cell a=8.902 b=9.897 c=5.534 alpha=90.00 beta=128.43 gamma=105.82
Element x y z (fractional)
Ho: 0.354 0.709 0.854
Ho: 0.082 0.169 0.081
Ho: 0.824 0.643 0.324
Ho: 0.646 0.291 0.146
Ho: 0.176 0.357 0.676
Ho: 0.500 0.000 0.500
Ho: 0.918 0.831 0.919
Y: 0.222 0.001 0.722
Y: 0.778 0.999 0.278
Y: 0.000 0.500 0.000
Pm: 0.500 0.500 0.500

Values from the calculation:
* E above lowest polymorph: 0.000 eV per atom
* formation enthalpy at 0 K: 0.16 eV per atom
* E_tot: -4.95 eV per atom

(6)
Below is a relaxed structure of MoPt2Se, with properties calculated at the PBE level.

Unit cell a=5.406 b=5.406 c=5.406 alpha=147.54 beta=130.41 gamma=60.53
Element x y z (fractional)
Pt: 0.988 0.988 0.000
Pt: 0.512 0.512 0.000
Se: 0.750 0.250 0.500
Mo: 0.250 0.750 0.500

Values from the calculation:
* uncorrected formation energy: 42 kJ/mol of formula units
* E_tot: -6.49 eV per atom

(7)
Below is a relaxed structure of BaCuIO2, with properties calculated at the PBE level.

Unit cell a=4.542 b=4.542 c=4.929 alpha=90.00 beta=90.00 gamma=90.00
Element x y z (fractional)
O: 0.500 0.000 0.000
O: 0.000 0.500 0.000
I: 0.000 0.000 0.500
Cu: 0.000 0.000 0.000
Ba: 0.500 0.500 0.500

Values from the calculation:
* uncorrected formation energy: -296 kJ/mol of formula units
* E above lowest polymorph: 0.000 eV per atom
* E_tot: -4.11 eV per atom

(8)
Below is a relaxed structure of Tl3Hg2BiPb3, with properties calculated at the PBE level.

Unit cell a=4.217 b=8.783 c=8.783 alpha=120.00 beta=90.00 gamma=90.00
Element x y z (fractional)
Tl: 0.000 0.609 0.609
Tl: 0.000 0.391 0.000
Tl: 0.000 0.000 0.391
Bi: 0.000 0.000 0.000
Hg: 0.500 0.667 0.333
Hg: 0.500 0.333 0.667
Pb: 0.500 0.000 0.713
Pb: 0.500 0.713 0.000
Pb: 0.500 0.287 0.287

Values from the calculation:
* formation enthalpy at 0 K: 0.04 eV per atom
* E_tot: -2.49 eV per atom